[1]
First-principles (PBE) data for a relaxed NaScTc2 crystal, as listed in Alexandria via LeMat-Bulk.

The calculation puts the calculated formation energy at 889 meV per atom.

It has space group Fm-3m (No. 225), with a = 6.5321 Å, b = 6.5321 Å, c = 6.5321 Å, α = 90.00°, β = 90.00° and γ = 90.00°. The inequivalent atoms are Na at (0.0000, 0.0000, 0.0000), Sc at (0.0000, 0.0000, 0.5000) and Tc at (0.2500, 0.2500, 0.2500).

---

[2]
First-principles (PBE) data for a relaxed PmGa2I8 crystal, as listed in Alexandria via LeMat-Bulk.

The calculation puts the energy relative to the elements, uncorrected at -0.738 eV per atom.

It has space group C2/m (No. 12), with a = 13.9401 Å, b = 11.4096 Å, c = 7.3013 Å, α = 90.00°, β = 100.78° and γ = 90.00°. The inequivalent atoms are Pm at (0.0000, 0.0000, 0.0000), Ga at (0.2038, 0.0000, 0.6717), I at (0.0992, 0.1817, 0.7773), I at (0.1158, 0.5000, 0.1605) and I at (0.1965, 0.0000, 0.2942).

---

[3]
First-principles (PBE) data for a relaxed SmCd2InHg5 crystal, as listed in Alexandria via LeMat-Bulk.

The calculation puts the calculated formation energy at -147 meV per atom.

It has space group Cmc2_1 (No. 36), with a = 4.8439 Å, b = 12.9591 Å, c = 14.3035 Å, α = 90.00°, β = 90.00° and γ = 90.00°. The inequivalent atoms are Sm at (0.0000, 0.0913, 0.0000), Cd at (0.0000, 0.4130, 0.9920), Cd at (0.0000, 0.4154, 0.3305), In at (0.0000, 0.2308, 0.4913), Hg at (0.0000, 0.0710, 0.3271), Hg at (0.0000, 0.0795, 0.6617), Hg at (0.0000, 0.2461, 0.8255), Hg at (0.0000, 0.2526, 0.1701) and Hg at (0.0000, 0.4116, 0.6568).

---

[4]
First-principles (PBE) data for a relaxed Li2Tm2PuS6 crystal, as listed in Alexandria via LeMat-Bulk.

The calculation puts the energy relative to the elements, uncorrected at -1.693 eV per atom.

It has space group C2/m (No. 12), with a = 6.7525 Å, b = 11.7110 Å, c = 6.5334 Å, α = 90.00°, β = 109.65° and γ = 90.00°. The inequivalent atoms are Li at (0.0000, 0.1676, 0.0000), Tm at (0.0000, 0.3345, 0.5000), Pu at (0.0000, 0.0000, 0.5000), S at (0.2409, 0.1687, 0.7421) and S at (0.2461, 0.0000, 0.2579).

---

[5]
First-principles (PBE) data for a relaxed BeTcCl2 crystal, as listed in Alexandria via LeMat-Bulk.

The calculation puts the energy relative to the elements, uncorrected at -0.083 eV per atom.

It has space group Cmm2 (No. 35), with a = 2.9842 Å, b = 5.6340 Å, c = 9.1931 Å, α = 90.00°, β = 90.00° and γ = 90.00°. The inequivalent atoms are Be at (0.0000, 0.0000, 0.0000), Tc at (0.0000, 0.5000, 0.2217), Cl at (0.0000, 0.0000, 0.4232) and Cl at (0.0000, 0.5000, 0.8519).

---

[6]
First-principles (PBE) data for a relaxed KMgN2 crystal, as listed in Alexandria via LeMat-Bulk.

The calculation puts the energy relative to the elements, uncorrected at 0.654 eV per atom.

It has space group I4_1/amd (No. 141, origin choice 2), with a = 4.4880 Å, b = 4.4880 Å, c = 13.4629 Å, α = 90.00°, β = 90.00° and γ = 90.00°. The inequivalent atoms are K at (0.0000, 0.2500, 0.3750), Mg at (0.0000, 0.2500, 0.8750) and N at (0.0000, 0.0000, 0.0000).

---

[7]
First-principles (PBE) data for a relaxed ZnSnSbAs crystal, as listed in Alexandria via LeMat-Bulk.

The calculation puts the energy relative to the elements, uncorrected at -0.095 eV per atom.

It has space group Cm (No. 8), with a = 7.5032 Å, b = 4.3318 Å, c = 7.6192 Å, α = 90.00°, β = 109.11° and γ = 90.00°. The inequivalent atoms are Zn at (0.0000, 0.0000, 0.0000), Sn at (0.0297, 0.5000, 0.5858), Sb at (0.1331, 0.0000, 0.3954) and As at (0.1502, 0.5000, 0.9505).

---

[8]
First-principles (PBE) data for a relaxed Ni2OsCl crystal, as listed in Alexandria via LeMat-Bulk.

The calculation puts the energy relative to the elements, uncorrected at 0.641 eV per atom.

It has space group Cmm2 (No. 35), with a = 2.7129 Å, b = 4.6095 Å, c = 9.6330 Å, α = 90.00°, β = 90.00° and γ = 90.00°. The inequivalent atoms are Ni at (0.0000, 0.0000, 0.0000), Ni at (0.0000, 0.5000, 0.2088), Os at (0.0000, 0.0000, 0.4264) and Cl at (0.0000, 0.5000, 0.8058).